Record 1
A relaxed structure of TiCr2Re. Source: Alexandria, functional GGA-PBE.

It has space group Immm (No. 71), with a = 2.8197 Å, b = 4.2752 Å, c = 9.7868 Å, α = 90.00°, β = 90.00° and γ = 90.00°. The distinct sites, in fractional coordinates, are Ti at (0.0000, 0.0000, 0.0000), Cr at (0.0000, 0.0000, 0.2597) and Re at (0.0000, 0.0000, 0.5000).

The total magnetization is 0.00 μB/cell. The value obtained for the formation enthalpy at 0 K is 0.646 eV/atom.

=====

Record 2
A relaxed structure of NaCo3P. Source: Alexandria, functional GGA-PBE.

It has space group Pm-3m (No. 221), with a = 4.3299 Å, b = 4.3299 Å, c = 4.3299 Å, α = 90.00°, β = 90.00° and γ = 90.00°. The distinct sites, in fractional coordinates, are Na at (0.0000, 0.0000, 0.0000), Co at (0.0000, 0.0000, 0.5000) and P at (0.5000, 0.5000, 0.5000).

The total magnetization is 5.38 μB/cell. The value obtained for the formation enthalpy at 0 K is 2.005 eV/atom.

=====

Record 3
A relaxed structure of GeRhF3. Source: Alexandria, functional GGA-PBE.

It has space group Pm-3m (No. 221), with a = 4.3044 Å, b = 4.3044 Å, c = 4.3044 Å, α = 90.00°, β = 90.00° and γ = 90.00°. The distinct sites, in fractional coordinates, are Ge at (0.0000, 0.0000, 0.0000), Rh at (0.5000, 0.5000, 0.5000) and F at (0.0000, 0.0000, 0.5000).

For the uncorrected formation energy, the calculation gives -876 meV/atom. The total magnetization is 1.87 μB/cell.

=====

Record 4
A relaxed structure of KV2CdCu. Source: Alexandria, functional GGA-PBE.

It has space group P4/mmm (No. 123), with a = 5.3085 Å, b = 5.3085 Å, c = 5.0046 Å, α = 90.00°, β = 90.00° and γ = 90.00°. The distinct sites, in fractional coordinates, are K at (0.0000, 0.0000, 0.0000), V at (0.0000, 0.5000, 0.5000), Cd at (0.5000, 0.5000, 0.5000) and Cu at (0.5000, 0.5000, 0.0000).

The total magnetization is 7.57 μB/cell. The value obtained for the formation enthalpy at 0 K is 1.300 eV/atom.

=====

Record 5
A relaxed structure of AsSeF2. Source: Alexandria, functional GGA-PBE.

It has space group I-42d (No. 122), with a = 3.8930 Å, b = 3.8930 Å, c = 15.8774 Å, α = 90.00°, β = 90.00° and γ = 90.00°. The distinct sites, in fractional coordinates, are As at (0.0000, 0.0000, 0.0000), Se at (0.0000, 0.0000, 0.5000) and F at (0.2196, 0.2500, 0.1250).

For the uncorrected formation energy, the calculation gives -708 meV/atom. The total magnetization is 0.00 μB/cell.

=====

Record 6
A relaxed structure of Pm5Nd4Er3. Source: Alexandria, functional GGA-PBE.

It has space group C2/m (No. 12), with a = 16.3941 Å, b = 5.9846 Å, c = 9.4443 Å, α = 90.00°, β = 116.66° and γ = 90.00°. The distinct sites, in fractional coordinates, are Pm at (0.0000, 0.0000, 0.0000), Pm at (0.0738, 0.5000, 0.7030), Pm at (0.1720, 0.5000, 0.3878), Nd at (0.0827, 0.0000, 0.4420), Nd at (0.2178, 0.0000, 0.8785), Er at (0.0000, 0.5000, 0.0000) and Er at (0.2092, 0.0000, 0.2287).

The total magnetization is 0.00 μB/cell. The value obtained for the formation enthalpy at 0 K is 0.211 eV/atom.

=====

Record 7
A relaxed structure of TeAsW2. Source: Alexandria, functional GGA-PBE.

It has space group P4mm (No. 99), with a = 3.1928 Å, b = 3.1928 Å, c = 7.9076 Å, α = 90.00°, β = 90.00° and γ = 90.00°. The distinct sites, in fractional coordinates, are Te at (0.0000, 0.0000, 0.0000), As at (0.5000, 0.5000, 0.6068), W at (0.0000, 0.0000, 0.4338) and W at (0.5000, 0.5000, 0.2231).

For the uncorrected formation energy, the calculation gives 282 meV/atom. The total magnetization is 0.00 μB/cell.

=====

Record 8
A relaxed structure of FeSi2Ge2. Source: Alexandria, functional GGA-PBE.

It has space group P4/mbm (No. 127), with a = 5.9517 Å, b = 5.9517 Å, c = 4.2414 Å, α = 90.00°, β = 90.00° and γ = 90.00°. The distinct sites, in fractional coordinates, are Fe at (0.0000, 0.0000, 0.0000), Si at (0.1436, 0.3564, 0.0000) and Ge at (0.1775, 0.6775, 0.5000).

For the uncorrected formation energy, the calculation gives 318 meV/atom. The total magnetization is 0.00 μB/cell.